[1]
Sr3Co2WO9 at its PBEsol-relaxed geometry. Source: Alexandria via LeMat-Bulk, functional SCAN.

It has space group Immm (No. 71), with a = 5.479 Å, b = 7.557 Å, c = 16.489 Å, α = 90.00°, β = 90.00° and γ = 90.00°. Symmetry generates all atoms from Sr at (0.000, 0.232, 0.000), Sr at (0.000, 0.260, 0.341), Co at (0.000, 0.000, 0.167), Co at (0.000, 0.000, 0.500), Co at (0.000, 0.500, 0.500), W at (0.000, 0.500, 0.168), O at (0.000, 0.244, 0.500), O at (0.000, 0.247, 0.169), O at (0.245, 0.000, 0.086), O at (0.245, 0.500, 0.087) and O at (0.250, 0.000, 0.249).

For the uncorrected formation energy, the calculation gives -2.4444 eV/atom. The value obtained for the total magnetization is 12.0 μB/cell. The crystal system is orthorhombic. For the density of states at the Fermi level, the calculation gives 1.5 states/eV/cell. As for the final energy: -1055.48 eV per cell.

=====

[2]
Li2CuSiO4 at its PBEsol-relaxed geometry. Source: Alexandria via LeMat-Bulk, functional SCAN.

It has space group C222_1 (No. 20), with a = 7.182 Å, b = 7.558 Å, c = 6.194 Å, α = 90.00°, β = 90.00° and γ = 90.00°. Symmetry generates all atoms from Li at (0.000, 0.183, 0.250), Li at (0.187, 0.500, 0.500), Cu at (0.000, 0.181, 0.750), Si at (0.175, 0.500, 0.000), O at (0.033, 0.329, 0.000) and O at (0.195, 0.003, 0.282).

For the uncorrected formation energy, the calculation gives -2.1984 eV/atom. For the energy relative to the lowest polymorph listed for this composition, the calculation gives 0.0415 eV/atom. The value obtained for the total magnetization is 4.0 μB/cell. The crystal system is orthorhombic. As for the final energy: -290.03 eV per cell.

=====

[3]
AuSe3 at its PBEsol-relaxed geometry. Source: Alexandria via LeMat-Bulk, functional SCAN.

It has space group Pmmm (No. 47), with a = 2.713 Å, b = 3.796 Å, c = 7.690 Å, α = 90.00°, β = 90.00° and γ = 90.00°. Symmetry generates all atoms from Au at (0.000, 0.000, 0.000), Se at (0.000, 0.000, 0.500) and Se at (0.500, 0.500, 0.229).

For the uncorrected formation energy, the calculation gives 0.5855 eV/atom. The value obtained for the total magnetization is 0.0 μB/cell. The crystal system is orthorhombic. For the density of states at the Fermi level, the calculation gives 3.2 states/eV/cell. As for the final energy: -127.05 eV per cell.

=====

[4]
Mg4ZnCu2 at its PBEsol-relaxed geometry. Source: Alexandria via LeMat-Bulk, functional SCAN.

It has space group R-3m (No. 166, hexagonal axes), with a = 4.4581 Å, b = 4.4581 Å, c = 20.9709 Å, α = 90.00°, β = 90.00° and γ = 120.00°. Symmetry generates all atoms from Mg at (0.0000, 0.0000, 0.1143), Mg at (0.0000, 0.0000, 0.3691), Zn at (0.0000, 0.0000, 0.5000) and Cu at (0.0000, 0.0000, 0.2419).

The value obtained for the total magnetization is 0.0 μB/cell. The crystal system is trigonal. For the density of states at the Fermi level, the calculation gives 4.9 states/eV/cell. As for the final energy: -193.40 eV per cell.

=====

[5]
Ni5Ir at its PBEsol-relaxed geometry. Source: Alexandria via LeMat-Bulk, functional SCAN.

It has space group Cm (No. 8), with a = 9.207 Å, b = 2.546 Å, c = 5.920 Å, α = 90.00°, β = 105.51° and γ = 90.00°. Symmetry generates all atoms from Ni at (0.000, 0.000, 0.000), Ni at (0.052, 0.000, 0.599), Ni at (0.164, 0.500, 0.322), Ni at (0.218, 0.500, 0.941), Ni at (0.386, 0.000, 0.265) and Ir at (0.332, 0.000, 0.662).

For the energy relative to the lowest polymorph listed for this composition, the calculation gives 0.0242 eV/atom. The value obtained for the total magnetization is 8.0 μB/cell. The crystal system is monoclinic. For the density of states at the Fermi level, the calculation gives 15.8 states/eV/cell. As for the final energy: -303.37 eV per cell.

=====

[6]
Ga2AsRh5 at its PBEsol-relaxed geometry. Source: Alexandria via LeMat-Bulk, functional SCAN.

It has space group Pbam (No. 55), with a = 5.370 Å, b = 10.109 Å, c = 4.019 Å, α = 90.00°, β = 90.00° and γ = 90.00°. Symmetry generates all atoms from Ga at (0.121, 0.147, 0.000), As at (0.000, 0.500, 0.500), Rh at (0.000, 0.000, 0.500), Rh at (0.136, 0.726, 0.500) and Rh at (0.167, 0.396, 0.000).

The value obtained for the total magnetization is 0.0 μB/cell. The crystal system is orthorhombic. For the density of states at the Fermi level, the calculation gives 9.6 states/eV/cell. As for the final energy: -452.74 eV per cell.

=====

[7]
CuTcP at its PBEsol-relaxed geometry. Source: Alexandria via LeMat-Bulk, functional SCAN.

It has space group Fmm2 (No. 42), with a = 3.045 Å, b = 4.631 Å, c = 11.424 Å, α = 90.00°, β = 90.00° and γ = 90.00°. Symmetry generates all atoms from Cu at (0.000, 0.000, 0.000), Tc at (0.000, 0.000, 0.311) and P at (0.000, 0.000, 0.664).

For the energy relative to the lowest polymorph listed for this composition, the calculation gives 0.3764 eV/atom. The value obtained for the total magnetization is 0.0 μB/cell. The crystal system is orthorhombic. For the density of states at the Fermi level, the calculation gives 9.0 states/eV/cell. As for the final energy: -238.69 eV per cell.

=====

[8]
BaCd2Hg at its PBEsol-relaxed geometry. Source: Alexandria via LeMat-Bulk, functional SCAN.

It has space group C2/m (No. 12), with a = 6.443 Å, b = 11.475 Å, c = 3.523 Å, α = 90.00°, β = 117.09° and γ = 90.00°. Symmetry generates all atoms from Ba at (0.000, 0.000, 0.000), Cd at (0.250, 0.250, 0.500) and Hg at (0.000, 0.500, 0.000).

The value obtained for the total magnetization is 0.0 μB/cell. The crystal system is monoclinic. For the density of states at the Fermi level, the calculation gives 4.5 states/eV/cell. As for the final energy: -337.81 eV per cell.

=====

[9]
Cs3Sb2I9 at its PBEsol-relaxed geometry. Source: Alexandria via LeMat-Bulk, functional SCAN.

It has space group P6_3/mmc (No. 194), with a = 8.2575 Å, b = 8.2575 Å, c = 20.9211 Å, α = 90.00°, β = 90.00° and γ = 120.00°. Symmetry generates all atoms from Cs at (0.0000, 0.0000, 0.2500), Cs at (0.3333, 0.6667, 0.0741), Sb at (0.3333, 0.6667, 0.6568), I at (0.0119, 0.5060, 0.2500) and I at (0.1634, 0.3268, 0.5818).

For the uncorrected formation energy, the calculation gives -0.9744 eV/atom. The value obtained for the total magnetization is 0.0 μB/cell. The crystal system is hexagonal. For the density of states at the Fermi level, the calculation gives 0.0 states/eV/cell. As for the final energy: -1064.54 eV per cell.

=====

[10]
MnPO4 at its PBEsol-relaxed geometry. Source: Alexandria via LeMat-Bulk, functional SCAN.

It has space group Pnma (No. 62), with a = 9.706 Å, b = 5.900 Å, c = 4.801 Å, α = 90.00°, β = 90.00° and γ = 90.00°. Symmetry generates all atoms from Mn at (0.216, 0.250, 0.069), P at (0.098, 0.750, 0.093), O at (0.057, 0.250, 0.852), O at (0.121, 0.750, 0.777) and O at (0.170, 0.546, 0.241).

For the uncorrected formation energy, the calculation gives -2.3653 eV/atom. The value obtained for the total magnetization is 16.0 μB/cell. The crystal system is orthorhombic. For the density of states at the Fermi level, the calculation gives 0.1 states/eV/cell. As for the final energy: -271.08 eV per cell.

=====

[11]
FeRuRh2 at its PBEsol-relaxed geometry. Source: Alexandria via LeMat-Bulk, functional SCAN.

It has space group I-4m2 (No. 119), with a = 3.719 Å, b = 3.719 Å, c = 7.440 Å, α = 90.00°, β = 90.00° and γ = 90.00°. Symmetry generates all atoms from Fe at (0.000, 0.000, 0.000), Ru at (0.000, 0.500, 0.250), Rh at (0.000, 0.000, 0.500) and Rh at (0.000, 0.500, 0.750).

The value obtained for the total magnetization is 6.4 μB/cell. The crystal system is tetragonal. For the density of states at the Fermi level, the calculation gives 7.4 states/eV/cell. As for the final energy: -241.04 eV per cell.

=====

[12]
Sr2ScNiF at its PBEsol-relaxed geometry. Source: Alexandria via LeMat-Bulk, functional SCAN.

It has space group P4/mmm (No. 123), with a = 5.844 Å, b = 5.844 Å, c = 4.538 Å, α = 90.00°, β = 90.00° and γ = 90.00°. Symmetry generates all atoms from Sr at (0.000, 0.500, 0.000), Sc at (0.000, 0.000, 0.500), Ni at (0.000, 0.000, 0.000) and F at (0.500, 0.500, 0.500).

For the uncorrected formation energy, the calculation gives -0.5022 eV/atom. The value obtained for the total magnetization is 0.0 μB/cell. The crystal system is tetragonal. For the density of states at the Fermi level, the calculation gives 3.8 states/eV/cell. As for the final energy: -81.01 eV per cell.

=====

[13]
CsHf3C at its PBEsol-relaxed geometry. Source: Alexandria via LeMat-Bulk, functional SCAN.

It has space group Pm-3m (No. 221), with a = 5.140 Å, b = 5.140 Å, c = 5.140 Å, α = 90.00°, β = 90.00° and γ = 90.00°. Symmetry generates all atoms from Cs at (0.000, 0.000, 0.000), Hf at (0.000, 0.000, 0.500) and C at (0.500, 0.500, 0.500).

The value obtained for the total magnetization is 0.0 μB/cell. The crystal system is cubic. For the density of states at the Fermi level, the calculation gives 7.7 states/eV/cell. As for the final energy: -216.81 eV per cell.

=====

[14]
Ba2GaCuPt at its PBEsol-relaxed geometry. Source: Alexandria via LeMat-Bulk, functional SCAN.

It has space group P4/mmm (No. 123), with a = 5.950 Å, b = 5.950 Å, c = 4.735 Å, α = 90.00°, β = 90.00° and γ = 90.00°. Symmetry generates all atoms from Ba at (0.000, 0.500, 0.000), Ga at (0.000, 0.000, 0.500), Cu at (0.500, 0.500, 0.500) and Pt at (0.500, 0.500, 0.000).

The value obtained for the total magnetization is 0.2 μB/cell. The crystal system is tetragonal. For the density of states at the Fermi level, the calculation gives 4.6 states/eV/cell. As for the final energy: -181.69 eV per cell.

=====

[15]
CoBi2B at its PBEsol-relaxed geometry. Source: Alexandria via LeMat-Bulk, functional SCAN.

It has space group I-42d (No. 122), with a = 5.812 Å, b = 5.812 Å, c = 10.515 Å, α = 90.00°, β = 90.00° and γ = 90.00°. Symmetry generates all atoms from Co at (0.000, 0.000, 0.000), Bi at (0.231, 0.250, 0.625) and B at (0.000, 0.000, 0.500).

The value obtained for the total magnetization is 7.3 μB/cell. The crystal system is tetragonal. For the density of states at the Fermi level, the calculation gives 6.7 states/eV/cell. As for the final energy: -713.57 eV per cell.

=====

[16]
YAl2Cu at its PBEsol-relaxed geometry. Source: Alexandria via LeMat-Bulk, functional SCAN.

It has space group R3m (No. 160, hexagonal axes), with a = 4.1611 Å, b = 4.1611 Å, c = 15.2424 Å, α = 90.00°, β = 90.00° and γ = 120.00°. Symmetry generates all atoms from Y at (0.0000, 0.0000, 0.0000), Al at (0.0000, 0.0000, 0.2076), Al at (0.0000, 0.0000, 0.4639) and Cu at (0.0000, 0.0000, 0.8010).

The value obtained for the total magnetization is 0.0 μB/cell. The crystal system is trigonal. For the density of states at the Fermi level, the calculation gives 6.8 states/eV/cell. As for the final energy: -180.80 eV per cell.

=====

[17]
MnAlNi2 at its PBEsol-relaxed geometry. Source: Alexandria via LeMat-Bulk, functional SCAN.

It has space group I-4m2 (No. 119), with a = 3.537 Å, b = 3.537 Å, c = 7.413 Å, α = 90.00°, β = 90.00° and γ = 90.00°. Symmetry generates all atoms from Mn at (0.000, 0.000, 0.000), Al at (0.000, 0.500, 0.750), Ni at (0.000, 0.000, 0.500) and Ni at (0.000, 0.500, 0.250).

The value obtained for the total magnetization is 8.6 μB/cell. The crystal system is tetragonal. For the density of states at the Fermi level, the calculation gives 3.1 states/eV/cell. As for the final energy: -120.66 eV per cell.

=====

[18]
Sr2TlPb at its PBEsol-relaxed geometry. Source: Alexandria via LeMat-Bulk, functional SCAN.

It has space group P4/mmm (No. 123), with a = 5.679 Å, b = 5.679 Å, c = 4.054 Å, α = 90.00°, β = 90.00° and γ = 90.00°. Symmetry generates all atoms from Sr at (0.000, 0.500, 0.000), Tl at (0.000, 0.000, 0.500) and Pb at (0.500, 0.500, 0.500).

The value obtained for the total magnetization is 0.0 μB/cell. The crystal system is tetragonal. For the density of states at the Fermi level, the calculation gives 1.6 states/eV/cell. As for the final energy: -195.48 eV per cell.

=====

[19]
CaH12Cl2O6 at its PBEsol-relaxed geometry. Source: Alexandria via LeMat-Bulk, functional SCAN.

It has space group P321 (No. 150), with a = 7.7735 Å, b = 7.7735 Å, c = 3.8281 Å, α = 90.00°, β = 90.00° and γ = 120.00°. Symmetry generates all atoms from Ca at (0.0000, 0.0000, 0.0000), H at (0.1015, 0.6620, 0.1067), H at (0.1163, 0.3491, 0.5270), Cl at (0.3333, 0.6667, 0.4190), O at (0.0000, 0.2139, 0.5000) and O at (0.0000, 0.6869, 0.0000).

The value obtained for the total magnetization is 0.0 μB/cell. The crystal system is trigonal. For the density of states at the Fermi level, the calculation gives 0.0 states/eV/cell. As for the final energy: -131.78 eV per cell.

=====

[20]
SiSb2Br at its PBEsol-relaxed geometry. Source: Alexandria via LeMat-Bulk, functional SCAN.

It has space group P1 (No. 1), with a = 3.870 Å, b = 3.913 Å, c = 7.452 Å, α = 95.24°, β = 104.79° and γ = 90.04°. Symmetry generates all atoms from Si at (0.000, 0.000, 0.000), Sb at (0.534, 0.541, 0.070), Sb at (0.861, 0.381, 0.719) and Br at (0.248, 0.965, 0.486).

For the uncorrected formation energy, the calculation gives 0.1587 eV/atom. For the energy relative to the lowest polymorph listed for this composition, the calculation gives 0.0000 eV/atom. The value obtained for the total magnetization is 0.0 μB/cell. The crystal system is triclinic. For the density of states at the Fermi level, the calculation gives 0.9 states/eV/cell. As for the final energy: -103.36 eV per cell.